Record 1
This record from the Alexandria database describes an optimized crystal structure of YCrIr4. The functional is GGA-PBE.

POSCAR file:
```
YCrIr4
1.0
0.000 3.726 3.726
3.726 0.000 3.726
3.726 3.726 0.000
Ir Cr Y
4 1 1
direct
0.375 0.375 0.876
0.375 0.375 0.375
0.876 0.375 0.375
0.375 0.876 0.375
0.000 0.000 0.000
0.750 0.750 0.750
```

Size of the total moment ... 0.618 μB per atom
E_tot ... -0.32429 hartree per atom
SG ... F-43m (216)
DFT formation energy ... -0.24 eV per atom
Crystal system ... cubic

Record 2
This record from the Alexandria database describes an optimized crystal structure of YCr2Ir2. The functional is GGA-PBE.

POSCAR file:
```
YCr2Ir2
1.0
7.548 0.000 0.000
0.000 7.548 0.000
0.000 0.000 2.761
Ir Cr Y
4 4 2
direct
0.372 0.872 0.000
0.872 0.628 0.000
0.128 0.372 0.000
0.628 0.128 0.000
0.835 0.335 0.500
0.665 0.835 0.500
0.335 0.165 0.500
0.165 0.665 0.500
0.000 0.000 0.000
0.500 0.500 0.000
```

Size of the total moment ... 0.231 μB per atom
E_tot ... -0.32048 hartree per atom
SG ... P4/mbm (127)
DFT formation energy ... -0.03 eV per atom
Energy relative to the lowest polymorph listed for this composition ... 101 kJ/mol of formula units
Crystal system ... tetragonal

Record 3
This record from the Alexandria database describes an optimized crystal structure of YCr2Ir2. The functional is GGA-PBE.

POSCAR file:
```
YCr2Ir2
1.0
7.529 0.000 0.000
0.000 7.529 0.000
0.000 0.000 2.765
Cr Y Ir
4 2 4
direct
0.392 0.892 0.000
0.608 0.108 0.000
0.108 0.392 0.000
0.892 0.608 0.000
0.000 0.000 0.000
0.500 0.500 0.000
0.676 0.824 0.500
0.176 0.676 0.500
0.824 0.324 0.500
0.324 0.176 0.500
```

Size of the total moment ... 0.000 μB per atom
E_tot ... -0.32422 hartree per atom
SG ... P4/mbm (127)
DFT formation energy ... -0.14 eV per atom
Energy relative to the lowest polymorph listed for this composition ... 52 kJ/mol of formula units
Crystal system ... tetragonal

Look up the size of the total moment of the first one.
0.618 μB per atom

size of the total moment of number 2 (YCr2Ir2)?
0.231 μB per atom